Record 1
# BaCoReCl2 | Alexandria | PBE-GGA | optimized geometry
# V   50.5 Å³ per atom
# DFT total energy   -3.916 eV/atom
data_BaCoReCl2
_cell_length_a 5.796
_cell_length_b 5.796
_cell_length_c 7.512
_cell_angle_alpha 90.00
_cell_angle_beta 90.00
_cell_angle_gamma 90.00
_space_group_name_H-M_alt 'P 4/m m m'
_space_group_IT_number 123
_space_group_name_Hall '-P 4 2'
loop_
_atom_site_label
_atom_site_fract_x
_atom_site_fract_y
_atom_site_fract_z
Ba1 0.000 0.000 0.000
Co1 0.500 0.500 0.500
Re1 0.000 0.000 0.500
Cl1 0.000 0.500 0.000

=====

Record 2
# Ti6AlV2 | Alexandria | PBE-GGA | optimized geometry
# V   16.9 Å³ per atom
# DFT total energy   -7.605 eV/atom
# ΔE_f   0.101 eV/atom
data_Ti6AlV2
_cell_length_a 8.133
_cell_length_b 8.295
_cell_length_c 8.998
_cell_angle_alpha 90.00
_cell_angle_beta 90.00
_cell_angle_gamma 90.00
_space_group_name_H-M_alt 'I m m m'
_space_group_IT_number 71
_space_group_name_Hall '-I 2 2'
loop_
_atom_site_label
_atom_site_fract_x
_atom_site_fract_y
_atom_site_fract_z
Ti1 0.000 0.218 0.171
Ti2 0.192 0.212 0.500
Ti3 0.202 0.500 0.253
Al1 0.000 0.500 0.000
Al2 0.000 0.500 0.500
V1 0.000 0.000 0.363
V2 0.161 0.000 0.000